[1]
KCaNi2: optimized geometry, PBE.

Properties
- relative energy among the computed polymorphs (eV per formula unit) = 0.63
- calculated formation energy (eV per atom) = 0.28

Unit cell a=4.117 b=4.390 c=11.791 alpha=90.00 beta=90.00 gamma=90.00
Space group Amm2 (No. 38)
Asymmetric unit:
K 0.000 0.000 0.000
Ca 0.500 0.000 0.726
Ni 0.000 0.000 0.292
Ni 0.500 0.000 0.367

---

[2]
LiIn2Ag5: optimized geometry, PBE.

Properties
- relative energy among the computed polymorphs (eV per formula unit) = 0.07
- calculated formation energy (eV per atom) = -0.08

Unit cell a=6.090 b=6.090 c=8.065 alpha=90.00 beta=90.00 gamma=90.00
Space group I4/mmm (No. 139)
Asymmetric unit:
Li 0.000 0.000 0.000
In 0.000 0.500 0.000
Ag 0.000 0.000 0.500
Ag 0.250 0.250 0.250

---

[3]
Tl3CuBr6: optimized geometry, PBE.

Properties
- relative energy among the computed polymorphs (eV per formula unit) = 0.33

Unit cell a=12.913 b=15.356 c=7.236 alpha=90.00 beta=90.00 gamma=90.00
Space group Cmc2_1 (No. 36)
Asymmetric unit:
Tl 0.000 0.081 0.000
Tl 0.171 0.398 0.881
Cu 0.000 0.292 0.320
Br 0.000 0.288 0.650
Br 0.000 0.443 0.215
Br 0.140 0.215 0.156
Br 0.146 0.044 0.702

---

[4]
Pm4Sm5Tl: optimized geometry, PBE.

Properties
- relative energy among the computed polymorphs (eV per formula unit) = 0.00
- calculated formation energy (eV per atom) = 0.02

Unit cell a=4.240 b=4.240 c=18.252 alpha=90.00 beta=90.00 gamma=90.00
Space group P4/mmm (No. 123)
Asymmetric unit:
Pm 0.000 0.000 0.101
Pm 0.000 0.000 0.303
Sm 0.500 0.500 0.000
Sm 0.500 0.500 0.206
Sm 0.500 0.500 0.411
Tl 0.000 0.000 0.500

---

[5]
V2PbN: optimized geometry, PBE.

Properties
- VASP energy (eV/cell) = -102.7

Unit cell a=6.158 b=6.158 c=6.158 alpha=90.00 beta=90.00 gamma=90.00
Space group Fm-3m (No. 225)
Asymmetric unit:
V 0.250 0.250 0.250
Pb 0.000 0.000 0.000
N 0.000 0.000 0.500

---

[6]
V2TcGeIr: optimized geometry, PBE.

Properties
- calculated formation energy (eV per atom) = 1.16

Unit cell a=4.410 b=4.410 c=4.424 alpha=90.00 beta=90.00 gamma=90.00
Space group P4/mmm (No. 123)
Asymmetric unit:
V 0.000 0.500 0.000
Tc 0.000 0.000 0.500
Ge 0.500 0.500 0.000
Ir 0.500 0.500 0.500

---

The calculation returns the following magnetization values, one per record and in order: 0.23, 0.00, 2.09, 0.00, 0.00, 0.00 μB per cell.